MgAlPd2: optimized geometry, PBE-GGA.

Properties
V = 62.41 Å³/cell
E_tot = -4.440 eV per atom

Cell: 4.452 4.452 4.452 Å, 60.00 60.00 60.00°
Element x y z (fractional)
Pd1 0.750 0.750 0.750
Mg1 0.250 0.250 0.250
Pd2 0.000 0.000 0.000
Al1 0.500 0.500 0.500